Compound: Ti3VC
Source: the Alexandria database
Functional: PBE
Structure: relaxed

POSCAR file:
```
Ti3VC
1.0
4.1797 0.0000 0.0000
0.0000 4.1797 0.0000
0.0000 0.0000 4.1797
Ti V C
3 1 1
Direct
0.0000 0.0000 0.5000
0.0000 0.5000 0.0000
0.5000 0.0000 0.0000
0.5000 0.5000 0.5000
0.0000 0.0000 0.0000
```

The space group is No. 221. For the energy above the lowest structure with this stoichiometry, the calculation gives 0.000 eV/atom.

=====

Compound: Ti4Fe3Ru
Source: the Alexandria database
Functional: PBE
Structure: relaxed

POSCAR file:
```
Ti4Fe3Ru
1.0
2.9913 0.0000 0.0000
0.0000 2.9913 0.0000
0.0000 0.0000 11.9362
Ti Fe Ru
4 3 1
Direct
0.0000 0.0000 0.1226
0.0000 0.0000 0.3684
0.0000 0.0000 0.6316
0.0000 0.0000 0.8774
0.5000 0.5000 0.0000
0.5000 0.5000 0.2460
0.5000 0.5000 0.7540
0.5000 0.5000 0.5000
```

The space group is No. 123.

=====

Compound: AlCuTc2
Source: the Alexandria database
Functional: PBE
Structure: relaxed

POSCAR file:
```
AlCuTc2
1.0
2.7375 0.0000 0.0000
-1.3688 2.3708 0.0000
0.0000 0.0000 26.1392
Al Cu Tc
3 3 6
Direct
0.0000 0.0000 0.0000
0.3333 0.6667 0.6667
0.6667 0.3333 0.3333
0.0000 0.0000 0.5000
0.3333 0.6667 0.1667
0.6667 0.3333 0.8333
0.0000 0.0000 0.2501
0.0000 0.0000 0.7499
0.3333 0.6667 0.4166
0.3333 0.6667 0.9167
0.6667 0.3333 0.0833
0.6667 0.3333 0.5834
```

The space group is No. 166.

=====

Total energy per entry: -8.60, -8.77, -7.06 eV/atom